NdY2Te4 PBE optimized geometry; distance to the lowest polymorph of the same formula = 0.000 eV/atom; raw formation energy = -1.42 eV per atom; total DFT energy (no corrections) = -5.74 eV per atom
1.0
8.339 -2.195 0.000
8.339 2.195 0.000
-3.411 0.000 6.796
Nd Y Te
1 2 4
Cartesian
0.000 0.000 0.000
3.342 0.000 1.824
9.924 0.000 4.972
0.526 0.000 3.122
6.014 0.000 0.192
7.252 0.000 6.604
12.740 0.000 3.674

Nd2YTe PBE optimized geometry; distance to the lowest polymorph of the same formula = 0.044 eV/atom; raw formation energy = -0.53 eV per atom; total DFT energy (no corrections) = -5.32 eV per atom
1.0
1.994 1.151 10.091
-1.994 1.151 10.091
0.000 -2.302 10.091
Nd Y Te
2 1 1
Cartesian
0.000 0.000 7.221
0.000 0.000 23.051
0.000 0.000 0.000
0.000 0.000 15.136

Nd3YTe6 PBE optimized geometry; raw formation energy = -1.40 eV per atom; total DFT energy (no corrections) = -5.36 eV per atom
1.0
7.457 0.000 0.000
0.000 8.306 0.000
-7.249 0.000 11.336
Nd Y Te
6 2 12
Cartesian
0.000 0.000 0.000
-3.625 4.153 5.668
-3.183 0.995 8.543
0.442 3.158 2.875
-0.234 5.148 8.461
3.390 7.312 2.793
0.104 0.000 5.668
3.729 4.153 0.000
-1.178 0.441 2.895
-4.803 3.712 8.563
1.243 5.591 0.916
-2.382 6.868 6.584
2.573 1.483 0.890
-1.052 2.670 6.558
1.259 5.636 4.778
-2.365 6.823 10.446
2.590 1.438 4.752
-1.035 2.715 10.420
5.011 4.595 2.773
1.386 7.865 8.441